Entry 1:
DFT (PBE) results for a relaxed structure of LaUO4F.

Computed properties:
Fermi-level density of states, states/eV per atom: 0.000
SG: C2/m (12)
V, Å³/f.u.: 128.3
Magnetization, μB per atom: 0.0000
E_tot, eV for the cell shown: -121.30
ΔE_f (raw), kJ/mol of atoms: -313.3
Theoretical density, g/cm³: 5.95

The structure in extended XYZ format:
```
14
Lattice="6.2936 -0.0500 -0.5073 2.0375 5.9549 -0.5073 1.1450 0.8115 6.6881" Properties=species:S:1:pos:R:3 pbc="T T T"
La 2.6446 1.8744 5.9693
La 6.8315 4.8420 -0.2958
U 6.0445 4.2841 3.5536
U 3.4316 2.4323 2.1199
O 2.2707 1.6094 3.3579
O 7.2054 5.1070 2.3157
O 2.0044 3.0533 0.8059
O 5.0159 3.5551 1.5564
O 5.9312 5.8365 4.8676
O 3.5449 0.8799 0.8059
O 4.4602 3.1613 4.1171
O 7.4717 3.6631 4.8676
F 0.4202 0.2978 1.1821
F 9.0560 6.4186 4.4914
```

Entry 2:
DFT (PBE) results for a relaxed structure of Sm2HoGa2Cu2.

Computed properties:
Fermi-level density of states, states/eV per atom: 0.817
SG: R-3m (166)
V, Å³/f.u.: 155.3
Magnetization, μB per atom: 0.0000
E_form, meV/atom: -392
E_tot, eV for the cell shown: -31.00
Theoretical density, g/cm³: 7.83

The structure in extended XYZ format:
```
7
Lattice="-2.9451 -2.7744 1.6975 0.6597 -4.3300 -0.2616 3.7486 -2.1729 8.6232" Properties=species:S:1:pos:R:3 pbc="T T T"
Sm 2.0866 -2.2448 5.6220
Sm -0.6233 -7.0324 4.4371
Ho 0.0000 0.0000 0.0000
Ga 1.3416 -6.9473 7.9853
Ga 0.1216 -2.3299 2.0738
Cu -0.7213 -4.7015 2.4059
Cu 2.1846 -4.5757 7.6532
```

Entry 3:
DFT (PBE) results for a relaxed structure of BPt2Au.

Computed properties:
Fermi-level density of states, states/eV per atom: 0.201
SG: I-42d (122)
V, Å³/f.u.: 59.6
Magnetization, μB per atom: 0.0000
E_form, meV/atom: -73
E_tot, eV for the cell shown: -44.66
Theoretical density, g/cm³: 16.66

The structure in extended XYZ format:
```
8
Lattice="-6.3510 -0.6179 -1.7952 -1.1581 -3.7060 5.3726 -4.3702 0.0728 3.1975" Properties=species:S:1:pos:R:3 pbc="T T T"
B -3.7546 -2.1620 1.7887
B -4.6414 -2.8976 5.1794
Au 0.0000 0.0000 0.0000
Au -7.2379 -1.3535 1.5955
Pt -4.6371 -0.7758 0.5099
Pt -3.1799 -2.4307 3.7718
Pt -6.1975 -1.8992 4.2215
Pt -9.7443 -3.3964 5.0465
```

Entry 4:
DFT (PBE) results for a relaxed structure of SiAs2Br.

Computed properties:
Fermi-level density of states, states/eV per atom: 0.734
SG: P4/mmm (123)
V, Å³/f.u.: 89.2
Magnetization, μB per atom: 0.0000
E_tot, eV for the cell shown: -14.15
Excess energy over the best structure of this formula in the dataset, meV/atom: 504
ΔE_f (raw), kJ/mol of atoms: 54.2
Theoretical density, g/cm³: 4.80

The structure in extended XYZ format:
```
4
Lattice="-5.8304 -1.0405 1.2898 -0.4933 -1.5457 -3.4767 0.9257 -3.4492 1.4021" Properties=species:S:1:pos:R:3 pbc="T T T"
As 0.0000 0.0000 0.0000
As 0.2162 -2.4975 -1.0373
Br -3.1618 -1.2931 -1.0935
Si -2.4523 -2.2449 1.3459
```

Entry 5:
DFT (PBE) results for a relaxed structure of ScTaZn2.

Computed properties:
Fermi-level density of states, states/eV per atom: 0.793
SG: P2/m (10)
V, Å³/f.u.: 72.0
Magnetization, μB per atom: 0.0000
E_form, meV/atom: 76
E_tot, eV for the cell shown: -20.43
Excess energy over the best structure of this formula in the dataset, meV/atom: 199
Theoretical density, g/cm³: 8.22

The structure in extended XYZ format:
```
4
Lattice="-2.7034 -1.1006 0.0348 1.1911 -2.7870 4.3841 -0.6563 1.7829 5.3944" Properties=species:S:1:pos:R:3 pbc="T T T"
Sc -1.0843 -1.0524 4.9066
Ta -0.3282 0.8914 2.6972
Zn 0.0000 0.0000 0.0000
Zn -0.7562 -1.9438 2.2094
```

Entry 6:
DFT (PBE) results for a relaxed structure of LaMg2Pd.

Computed properties:
Fermi-level density of states, states/eV per atom: 0.691
SG: Pnma (62)
V, Å³/f.u.: 95.6
Magnetization, μB per atom: 0.0000
E_form, meV/atom: -525
E_tot, eV for the cell shown: -123.27
Theoretical density, g/cm³: 5.10

The structure in extended XYZ format:
```
32
Lattice="-1.0187 -3.3646 -4.5160 6.8945 -4.2714 1.6271 -8.4538 -10.0630 9.4043" Properties=species:S:1:pos:R:3 pbc="T T T"
La 0.0983 -3.9697 -0.3240
La 1.1443 -10.0397 0.3361
La -2.6763 -13.7292 6.8394
La -3.7224 -7.6593 6.1793
La -2.3913 -7.5894 0.7228
La 4.0313 -5.1074 1.0511
La -0.1867 -10.1096 5.7926
La -6.6093 -12.5916 5.4643
Mg -2.3830 -5.5744 -2.2182
Mg 3.6190 -8.4565 2.2014
Mg -2.8822 -10.4597 8.0995
Mg -3.5099 -10.9072 4.9482
Mg -0.1951 -12.1245 8.7336
Mg -6.1971 -9.2425 4.3140
Mg 0.3042 -7.2392 -1.5841
Mg 0.9319 -6.7917 1.5672
Mg 2.7193 -5.3385 -2.1587
Mg -1.0938 -7.4063 3.8682
Mg -7.9737 -10.7024 8.0425
Mg 1.1922 -11.9508 3.2788
Mg -5.2973 -12.3605 8.6741
Mg -1.4842 -10.2927 2.6472
Mg 5.3957 -6.9966 -1.5271
Mg -3.7702 -5.7482 3.2366
Pd -1.1845 -5.0464 2.2850
Pd 2.8534 -7.5550 -0.3831
Pd -1.3935 -12.6525 4.2304
Pd -5.4314 -10.1439 6.8985
Pd 0.1491 -5.0316 -3.3269
Pd 1.0496 -9.1228 3.1443
Pd -2.7271 -12.6674 9.8423
Pd -3.6276 -8.5762 3.3711
```

Entry 7:
DFT (PBE) results for a relaxed structure of MnCoPt2.

Computed properties:
Fermi-level density of states, states/eV per atom: 1.515
SG: I-4m2 (119)
V, Å³/f.u.: 56.4
Magnetization, μB per atom: 1.4830
E_form, meV/atom: -170
E_tot, eV for the cell shown: -29.04
Theoretical density, g/cm³: 14.83

The structure in extended XYZ format:
```
4
Lattice="-3.8824 -2.6478 -0.5737 0.1846 -3.8624 2.7314 0.6350 4.6037 0.9100" Properties=species:S:1:pos:R:3 pbc="T T T"
Co -1.8489 -3.2552 1.0788
Mn -2.5480 -0.6493 0.7074
Pt 0.0000 0.0000 0.0000
Pt -0.5147 -1.2571 2.3601
```

Entry 8:
DFT (PBE) results for a relaxed structure of Dy2In5Hg.

Computed properties:
Fermi-level density of states, states/eV per atom: 0.572
SG: Pbam (55)
V, Å³/f.u.: 197.1
Magnetization, μB per atom: 0.0000
E_form, meV/atom: -401
E_tot, eV for the cell shown: -52.81
Theoretical density, g/cm³: 9.27

The structure in extended XYZ format:
```
16
Lattice="4.6635 0.0000 0.0000 0.0000 6.4946 0.0000 0.0000 0.0000 13.0125" Properties=species:S:1:pos:R:3 pbc="T T T"
Dy 2.3318 1.6337 8.1460
Dy 2.3318 4.8609 4.8664
Dy 2.3318 1.6136 1.6398
Dy 2.3318 4.8810 11.3727
In 0.0000 0.0000 0.0000
In 0.0000 3.2473 6.5062
In 0.0000 3.2528 9.7733
In 0.0000 3.2418 3.2392
In 0.0000 6.4891 3.2670
In 0.0000 0.0055 9.7454
In 2.3318 1.6398 11.4049
In 2.3318 4.8548 1.6075
In 2.3318 1.6075 4.8987
In 2.3318 4.8871 8.1138
Hg 0.0000 0.0000 6.5062
Hg 0.0000 3.2473 0.0000
```

Entry 9:
DFT (PBE) results for a relaxed structure of Mg2ScTc.

Computed properties:
Fermi-level density of states, states/eV per atom: 0.727
SG: Cmmm (65)
V, Å³/f.u.: 74.4
Magnetization, μB per atom: 0.0000
E_form, meV/atom: 168
E_tot, eV for the cell shown: -19.21
Excess energy over the best structure of this formula in the dataset, meV/atom: 151
Theoretical density, g/cm³: 4.28

The structure in extended XYZ format:
```
4
Lattice="-2.4802 4.2892 -1.9781 -0.3273 -4.4948 -2.8551 -2.4356 -0.7413 1.4463" Properties=species:S:1:pos:R:3 pbc="T T T"
Mg 0.0000 0.0000 0.0000
Mg -1.4037 -0.1028 -2.4166
Sc -2.4579 1.7740 -0.2659
Tc -1.3815 -2.6181 -0.7044
```

Entry 10:
DFT (PBE) results for a relaxed structure of TcRuI2.

Computed properties:
Fermi-level density of states, states/eV per atom: 1.265
SG: I-42d (122)
V, Å³/f.u.: 105.9
Magnetization, μB per atom: 0.0000
E_tot, eV for the cell shown: -37.34
Excess energy over the best structure of this formula in the dataset, meV/atom: 0
ΔE_f (raw), kJ/mol of atoms: 98.2
Theoretical density, g/cm³: 7.10

The structure in extended XYZ format:
```
8
Lattice="-1.3067 4.3704 -3.8243 -3.3185 -3.7788 -3.1845 -7.0991 1.7349 -0.2243" Properties=species:S:1:pos:R:3 pbc="T T T"
I -3.0082 2.6991 -2.8498
I -4.0103 -1.3880 -2.5189
I -7.0540 1.5284 -2.7919
I -9.3762 1.8133 -6.3055
Ru 0.0000 0.0000 0.0000
Ru -5.3592 3.2005 -3.7765
Tc -2.3126 0.2958 -3.5044
Tc -6.3651 -0.8741 -3.4566
```